# 1
Compound: Cd2CoPb
Source: the Alexandria database
Functional: PBE-GGA
Structure: relaxed

Unit cell a=3.2186 b=3.2186 c=8.1919 alpha=90.00 beta=90.00 gamma=90.00
Closest atoms and distances in Å follow each position.
Space group P4mm (No. 99)
Unique sites:
Cd (0.0000, 0.0000, 0.0000)  8 Cd 3.16-3.22
Cd (0.5000, 0.5000, 0.2684)  4 Co 2.76
Co (0.0000, 0.0000, 0.4589)  4 Cd 2.76, 4 Pb 2.83
Pb (0.5000, 0.5000, 0.6633)  4 Co 2.83

Its formation energy is 1.107 eV per formula unit. Its total magnetization is 0.882 μB/f.u.

# 2
Compound: Co3As5
Source: the Alexandria database
Functional: PBE-GGA
Structure: relaxed

Unit cell a=6.5286 b=9.9139 c=3.8746 alpha=90.00 beta=90.00 gamma=90.00
Closest atoms and distances in Å follow each position.
Space group Cmmm (No. 65)
Unique sites:
Co (0.0000, 0.0000, 0.0000)  4 As 2.40, 4 Co 2.68
Co (0.0000, 0.1873, 0.5000)  6 As 2.34-2.61
As (0.0000, 0.5000, 0.0000)  8 As 2.67-2.97
As (0.2181, 0.0000, 0.5000)  4 Co 2.34-2.40
As (0.2500, 0.2500, 0.0000)  4 Co 2.61

Its formation energy is 1.634 eV per formula unit. Its total magnetization is 0.000 μB/f.u.

# 3
Compound: SbTe2AuF
Source: the Alexandria database
Functional: PBE-GGA
Structure: relaxed

Unit cell a=5.3146 b=5.3146 c=4.4407 alpha=90.00 beta=90.00 gamma=90.00
Closest atoms and distances in Å follow each position.
Space group P4/mmm (No. 123)
Unique sites:
Sb (0.0000, 0.0000, 0.0000)  2 F 2.22
Te (0.0000, 0.5000, 0.5000)  2 F 2.66
Au (0.5000, 0.5000, 0.0000)  8 Te 3.46, 4 Sb 3.76
F (0.0000, 0.0000, 0.5000)  2 Sb 2.22

As for the uncorrected formation energy: 0.9 eV/f.u. Its total magnetization is 0.000 μB/f.u.